DFT (GGA-PBE) results for KReIr2 after structural relaxation.

Output
- energy relative to the lowest polymorph listed for this composition (eV/atom) = 1.050
- density of states at the Fermi level (states/eV per cell) = 5.9
- crystal system = orthorhombic
- E (eV/atom) = -6.42
- energy of formation (eV/f.u.) = 5.58

Geometry as CIF:
```
data_KReIr2
_cell_length_a 2.717
_cell_length_b 5.128
_cell_length_c 4.916
_cell_angle_alpha 90.00
_cell_angle_beta 90.00
_cell_angle_gamma 90.00
_space_group_name_H-M_alt 'P 1'
_space_group_IT_number 1
loop_
_space_group_symop_operation_xyz
'x,y,z'
loop_
_atom_site_label
_atom_site_fract_x
_atom_site_fract_y
_atom_site_fract_z
_atom_site_occupancy
K1 0.500 0.000 0.500 1
Re1 0.000 0.500 0.500 1
Ir1 0.000 0.000 0.000 1
Ir2 0.500 0.500 0.000 1
```


DFT (GGA-PBE) results for KRe2Ir after structural relaxation.

Output
- energy relative to the lowest polymorph listed for this composition (eV/atom) = 0.249
- density of states at the Fermi level (states/eV per cell) = 5.9
- crystal system = tetragonal
- E (eV/atom) = -7.86
- energy of formation (eV/f.u.) = 3.41

Geometry as CIF:
```
data_KRe2Ir
_cell_length_a 2.719
_cell_length_b 2.719
_cell_length_c 9.934
_cell_angle_alpha 90.00
_cell_angle_beta 90.00
_cell_angle_gamma 90.00
_space_group_name_H-M_alt 'P 1'
_space_group_IT_number 1
loop_
_space_group_symop_operation_xyz
'x,y,z'
loop_
_atom_site_label
_atom_site_fract_x
_atom_site_fract_y
_atom_site_fract_z
_atom_site_occupancy
Re1 0.000 0.000 0.053 1
Ir1 0.500 0.500 0.250 1
K1 0.500 0.500 0.750 1
Re2 0.000 0.000 0.447 1
```


DFT (GGA-PBE) results for K2ReIr2 after structural relaxation.

Output
- energy relative to the lowest polymorph listed for this composition (eV/atom) = 0.000
- density of states at the Fermi level (states/eV per cell) = 8.3
- crystal system = tetragonal
- E (eV/atom) = -5.86
- energy of formation (eV/f.u.) = 3.06

Geometry as CIF:
```
data_K2ReIr2
_cell_length_a 6.388
_cell_length_b 6.388
_cell_length_c 5.757
_cell_angle_alpha 90.00
_cell_angle_beta 90.00
_cell_angle_gamma 90.00
_space_group_name_H-M_alt 'P 1'
_space_group_IT_number 1
loop_
_space_group_symop_operation_xyz
'x,y,z'
loop_
_atom_site_label
_atom_site_fract_x
_atom_site_fract_y
_atom_site_fract_z
_atom_site_occupancy
K1 0.319 0.181 0.500 1
K2 0.819 0.319 0.500 1
K3 0.681 0.819 0.500 1
Ir1 0.135 0.365 0.000 1
Re1 0.500 0.500 0.000 1
Ir2 0.365 0.865 0.000 1
Re2 0.000 0.000 0.000 1
K4 0.181 0.681 0.500 1
Ir3 0.635 0.135 0.000 1
Ir4 0.865 0.635 0.000 1
```


DFT (GGA-PBE) results for K4ReIr after structural relaxation.

Output
- density of states at the Fermi level (states/eV per cell) = 5.1
- crystal system = cubic
- E (eV/atom) = -2.52
- energy of formation (eV/f.u.) = 10.60

Geometry as CIF:
```
data_K4ReIr
_cell_length_a 6.271
_cell_length_b 6.271
_cell_length_c 6.271
_cell_angle_alpha 60.00
_cell_angle_beta 60.00
_cell_angle_gamma 60.00
_space_group_name_H-M_alt 'P 1'
_space_group_IT_number 1
loop_
_space_group_symop_operation_xyz
'x,y,z'
loop_
_atom_site_label
_atom_site_fract_x
_atom_site_fract_y
_atom_site_fract_z
_atom_site_occupancy
K1 0.374 0.877 0.374 1
K2 0.374 0.374 0.877 1
K3 0.877 0.374 0.374 1
Re1 0.750 0.750 0.750 1
Ir1 0.000 0.000 0.000 1
K4 0.374 0.374 0.374 1
```


DFT (GGA-PBE) results for KReIr2 after structural relaxation.

Output
- energy relative to the lowest polymorph listed for this composition (eV/atom) = 0.764
- density of states at the Fermi level (states/eV per cell) = 7.7
- crystal system = tetragonal
- E (eV/atom) = -6.71
- energy of formation (eV/f.u.) = 4.44

Geometry as CIF:
```
data_KReIr2
_cell_length_a 7.513
_cell_length_b 7.513
_cell_length_c 6.139
_cell_angle_alpha 52.27
_cell_angle_beta 52.27
_cell_angle_gamma 90.00
_space_group_name_H-M_alt 'P 1'
_space_group_IT_number 1
loop_
_space_group_symop_operation_xyz
'x,y,z'
loop_
_atom_site_label
_atom_site_fract_x
_atom_site_fract_y
_atom_site_fract_z
_atom_site_occupancy
Ir1 0.375 0.301 0.750 1
Ir2 0.699 0.125 0.250 1
Ir3 0.875 0.949 0.750 1
Re1 0.000 0.000 0.000 1
K1 0.500 0.500 0.000 1
K2 0.250 0.750 0.500 1
Re2 0.750 0.250 0.500 1
Ir4 0.051 0.625 0.250 1
```


DFT (GGA-PBE) results for KRe2Ir after structural relaxation.

Output
- energy relative to the lowest polymorph listed for this composition (eV/atom) = 0.765
- density of states at the Fermi level (states/eV per cell) = 2.2
- crystal system = cubic
- E (eV/atom) = -7.35
- energy of formation (eV/f.u.) = 5.47

Geometry as CIF:
```
data_KRe2Ir
_cell_length_a 4.549
_cell_length_b 4.549
_cell_length_c 4.549
_cell_angle_alpha 120.00
_cell_angle_beta 120.00
_cell_angle_gamma 90.01
_space_group_name_H-M_alt 'P 1'
_space_group_IT_number 1
loop_
_space_group_symop_operation_xyz
'x,y,z'
loop_
_atom_site_label
_atom_site_fract_x
_atom_site_fract_y
_atom_site_fract_z
_atom_site_occupancy
Re1 0.250 0.750 0.500 1
Ir1 0.500 0.500 0.000 1
Re2 0.000 0.000 0.000 1
K1 0.750 0.250 0.500 1
```


DFT (GGA-PBE) results for KReIr after structural relaxation.

Output
- energy relative to the lowest polymorph listed for this composition (eV/atom) = 0.876
- density of states at the Fermi level (states/eV per cell) = 4.4
- crystal system = hexagonal
- E (eV/atom) = -6.00
- energy of formation (eV/f.u.) = 4.42

Geometry as CIF:
```
data_KReIr
_cell_length_a 4.963
_cell_length_b 4.963
_cell_length_c 2.610
_cell_angle_alpha 90.00
_cell_angle_beta 90.00
_cell_angle_gamma 120.00
_space_group_name_H-M_alt 'P 1'
_space_group_IT_number 1
loop_
_space_group_symop_operation_xyz
'x,y,z'
loop_
_atom_site_label
_atom_site_fract_x
_atom_site_fract_y
_atom_site_fract_z
_atom_site_occupancy
Re1 0.333 0.667 0.833 1
K1 0.667 0.333 0.333 1
Ir1 0.000 0.000 0.834 1
```


DFT (GGA-PBE) results for KRe2Ir after structural relaxation.

Output
- energy relative to the lowest polymorph listed for this composition (eV/atom) = 0.257
- density of states at the Fermi level (states/eV per cell) = 5.0
- crystal system = monoclinic
- E (eV/atom) = -7.85
- energy of formation (eV/f.u.) = 3.44

Geometry as CIF:
```
data_KRe2Ir
_cell_length_a 4.783
_cell_length_b 4.783
_cell_length_c 6.959
_cell_angle_alpha 83.01
_cell_angle_beta 83.01
_cell_angle_gamma 34.16
_space_group_name_H-M_alt 'P 1'
_space_group_IT_number 1
loop_
_space_group_symop_operation_xyz
'x,y,z'
loop_
_atom_site_label
_atom_site_fract_x
_atom_site_fract_y
_atom_site_fract_z
_atom_site_occupancy
Ir1 0.472 0.472 0.597 1
K1 0.246 0.246 0.257 1
Re1 0.753 0.753 0.759 1
Re2 0.028 0.028 0.886 1
```


DFT (GGA-PBE) results for K2ReIr2 after structural relaxation.

Output
- energy relative to the lowest polymorph listed for this composition (eV/atom) = 0.957
- density of states at the Fermi level (states/eV per cell) = 6.0
- crystal system = tetragonal
- E (eV/atom) = -4.90
- energy of formation (eV/f.u.) = 7.84

Geometry as CIF:
```
data_K2ReIr2
_cell_length_a 3.522
_cell_length_b 3.522
_cell_length_c 8.330
_cell_angle_alpha 77.79
_cell_angle_beta 77.79
_cell_angle_gamma 90.00
_space_group_name_H-M_alt 'P 1'
_space_group_IT_number 1
loop_
_space_group_symop_operation_xyz
'x,y,z'
loop_
_atom_site_label
_atom_site_fract_x
_atom_site_fract_y
_atom_site_fract_z
_atom_site_occupancy
Re1 0.000 0.000 0.000 1
K1 0.750 0.250 0.500 1
K2 0.250 0.750 0.500 1
Ir1 0.580 0.580 0.840 1
Ir2 0.420 0.420 0.160 1
```


DFT (GGA-PBE) results for KReIr2 after structural relaxation.

Output
- energy relative to the lowest polymorph listed for this composition (eV/atom) = 0.432
- density of states at the Fermi level (states/eV per cell) = 5.3
- crystal system = orthorhombic
- E (eV/atom) = -7.04
- energy of formation (eV/f.u.) = 3.11

Geometry as CIF:
```
data_KReIr2
_cell_length_a 2.736
_cell_length_b 2.736
_cell_length_c 10.480
_cell_angle_alpha 90.00
_cell_angle_beta 90.00
_cell_angle_gamma 117.76
_space_group_name_H-M_alt 'P 1'
_space_group_IT_number 1
loop_
_space_group_symop_operation_xyz
'x,y,z'
loop_
_atom_site_label
_atom_site_fract_x
_atom_site_fract_y
_atom_site_fract_z
_atom_site_occupancy
Re1 0.500 0.500 0.787 1
Ir1 0.500 0.500 0.224 1
K1 0.000 0.000 0.491 1
Ir2 0.000 0.000 0.998 1
```


DFT (GGA-PBE) results for KRe2Ir after structural relaxation.

Output
- energy relative to the lowest polymorph listed for this composition (eV/atom) = 1.067
- density of states at the Fermi level (states/eV per cell) = 5.5
- crystal system = tetragonal
- E (eV/atom) = -7.04
- energy of formation (eV/f.u.) = 6.68

Geometry as CIF:
```
data_KRe2Ir
_cell_length_a 4.991
_cell_length_b 4.991
_cell_length_c 2.725
_cell_angle_alpha 90.00
_cell_angle_beta 90.00
_cell_angle_gamma 90.00
_space_group_name_H-M_alt 'P 1'
_space_group_IT_number 1
loop_
_space_group_symop_operation_xyz
'x,y,z'
loop_
_atom_site_label
_atom_site_fract_x
_atom_site_fract_y
_atom_site_fract_z
_atom_site_occupancy
Re1 0.000 0.000 0.000 1
K1 0.000 0.500 0.500 1
Re2 0.500 0.500 0.000 1
Ir1 0.500 0.000 0.500 1
```


DFT (GGA-PBE) results for KRe2Ir after structural relaxation.

Output
- energy relative to the lowest polymorph listed for this composition (eV/atom) = 1.155
- density of states at the Fermi level (states/eV per cell) = 6.7
- crystal system = tetragonal
- E (eV/atom) = -6.96
- energy of formation (eV/f.u.) = 7.03

Geometry as CIF:
```
data_KRe2Ir
_cell_length_a 4.676
_cell_length_b 3.860
_cell_length_c 3.860
_cell_angle_alpha 90.00
_cell_angle_beta 90.00
_cell_angle_gamma 90.00
_space_group_name_H-M_alt 'P 1'
_space_group_IT_number 1
loop_
_space_group_symop_operation_xyz
'x,y,z'
loop_
_atom_site_label
_atom_site_fract_x
_atom_site_fract_y
_atom_site_fract_z
_atom_site_occupancy
Ir1 0.500 0.500 0.000 1
Re1 0.000 0.500 0.500 1
Re2 0.000 0.000 0.000 1
K1 0.500 0.000 0.500 1
```